w.
DyCu9Sn2: optimized geometry, PBE.

## Properties
For the calculated density, the calculation gives 8.86 g/cm3. Its density of states at the Fermi level is 6.4 states/eV/f.u.

a b c (Å): 5.073 5.073 8.676
angles (deg): 73.00 73.00 60.00
Fractional coordinates of all 12 atoms:
Dy: 0.000 0.000 0.000
Cu: 0.666 0.666 0.001
Cu: 0.334 0.334 0.999
Cu: 0.500 0.500 0.500
Cu: 0.416 0.416 0.249
Cu: 0.919 0.416 0.249
Cu: 0.416 0.919 0.249
Cu: 0.584 0.584 0.751
Cu: 0.584 0.081 0.751
Cu: 0.081 0.584 0.751
Sn: 0.862 0.862 0.415
Sn: 0.138 0.138 0.585


x.
DyCu9Sn2: optimized geometry, PBE.

## Properties
For the calculated density, the calculation gives 8.99 g/cm3. Its density of states at the Fermi level is 3.6 states/eV/f.u.

a b c (Å): 4.989 8.482 8.482
angles (deg): 90.00 90.00 90.00
Fractional coordinates of all 24 atoms:
Dy: 0.000 0.500 0.500
Dy: 0.000 0.000 0.000
Cu: 0.500 0.500 0.000
Cu: 0.500 0.000 0.500
Cu: 0.500 0.702 0.565
Cu: 0.500 0.298 0.435
Cu: 0.500 0.202 0.935
Cu: 0.500 0.798 0.065
Cu: 0.500 0.435 0.702
Cu: 0.500 0.565 0.298
Cu: 0.500 0.065 0.202
Cu: 0.500 0.935 0.798
Cu: 0.754 0.827 0.327
Cu: 0.754 0.173 0.673
Cu: 0.754 0.327 0.173
Cu: 0.754 0.673 0.827
Cu: 0.246 0.173 0.673
Cu: 0.246 0.827 0.327
Cu: 0.246 0.673 0.827
Cu: 0.246 0.327 0.173
Sn: 0.000 0.630 0.130
Sn: 0.000 0.370 0.870
Sn: 0.000 0.130 0.370
Sn: 0.000 0.870 0.630


Energies in meV/atom, measured from the most stable structure: w 40; x 0.


w.
SrDyCu: optimized geometry, PBE.

## Properties
For the calculated density, the calculation gives 5.48 g/cm3. Its density of states at the Fermi level is 2.7 states/eV/f.u.

a b c (Å): 3.889 3.896 14.466
angles (deg): 90.00 90.00 119.94
Fractional coordinates of all 6 atoms:
Cu: 0.611 0.221 0.000
Cu: 0.278 0.556 0.500
Dy: 0.611 0.222 0.377
Dy: 0.611 0.222 0.623
Sr: 0.278 0.556 0.853
Sr: 0.278 0.556 0.147


x.
SrDyCu: optimized geometry, PBE.

## Properties
For the calculated density, the calculation gives 5.91 g/cm3. Its density of states at the Fermi level is 2.4 states/eV/f.u.

a b c (Å): 3.656 3.656 7.081
angles (deg): 104.96 104.96 90.00
Fractional coordinates of all 3 atoms:
Sr: 0.023 0.023 0.047
Cu: 0.687 0.687 0.374
Dy: 0.290 0.290 0.579


Energies in meV/atom, measured from the most stable structure: w 139; x 0.


w.
TbDy2Cu: optimized geometry, PBE.

## Properties
For the calculated density, the calculation gives 8.28 g/cm3. Its density of states at the Fermi level is 5.0 states/eV/f.u.

a b c (Å): 3.574 3.574 10.136
angles (deg): 79.85 79.85 60.00
Fractional coordinates of all 4 atoms:
Tb: 0.500 0.500 0.500
Cu: 0.000 0.000 0.000
Dy: 0.265 0.265 0.205
Dy: 0.735 0.735 0.795


x.
TbDy2Cu: optimized geometry, PBE.

## Properties
For the calculated density, the calculation gives 8.61 g/cm3. Its density of states at the Fermi level is 5.0 states/eV/f.u.

a b c (Å): 3.498 3.498 8.631
angles (deg): 90.00 90.00 90.00
Fractional coordinates of all 4 atoms:
Tb: 0.500 0.500 0.500
Cu: 0.500 0.500 0.000
Dy: 0.000 0.000 0.803
Dy: 0.000 0.000 0.197


y.
TbDy2Cu: optimized geometry, PBE.

## Properties
For the calculated density, the calculation gives 8.45 g/cm3. Its density of states at the Fermi level is 4.8 states/eV/f.u.

a b c (Å): 6.483 6.823 9.732
angles (deg): 90.00 90.00 90.00
Fractional coordinates of all 16 atoms:
Tb: 0.633 0.518 0.250
Tb: 0.867 0.018 0.250
Tb: 0.367 0.482 0.750
Tb: 0.133 0.982 0.750
Dy: 0.184 0.690 0.059
Dy: 0.316 0.190 0.441
Dy: 0.816 0.310 0.559
Dy: 0.684 0.810 0.941
Dy: 0.816 0.310 0.941
Dy: 0.684 0.810 0.559
Dy: 0.184 0.690 0.441
Dy: 0.316 0.190 0.059
Cu: 0.054 0.403 0.250
Cu: 0.446 0.903 0.250
Cu: 0.946 0.597 0.750
Cu: 0.554 0.097 0.750


z.
TbDy2Cu: optimized geometry, PBE.

## Properties
For the calculated density, the calculation gives 8.50 g/cm3. Its density of states at the Fermi level is 4.8 states/eV/f.u.

a b c (Å): 4.913 6.287 7.522
angles (deg): 90.00 90.00 112.98
Fractional coordinates of all 8 atoms:
Tb: 0.955 0.911 0.250
Tb: 0.045 0.089 0.750
Dy: 0.352 0.704 0.531
Dy: 0.648 0.296 0.469
Dy: 0.352 0.704 0.969
Dy: 0.648 0.296 0.031
Cu: 0.799 0.599 0.750
Cu: 0.201 0.401 0.250


Energies in meV/atom, measured from the most stable structure: w 135; x 6; y 0; z 39.


w.
TbDy3Cu2: optimized geometry, PBE.

## Properties
For the calculated density, the calculation gives 8.73 g/cm3. Its density of states at the Fermi level is 5.8 states/eV/f.u.

a b c (Å): 3.490 3.490 12.082
angles (deg): 90.00 90.00 90.00
Fractional coordinates of all 6 atoms:
Tb: 0.500 0.500 0.500
Dy: 0.000 0.000 0.000
Dy: 0.000 0.000 0.716
Dy: 0.000 0.000 0.284
Cu: 0.500 0.500 0.857
Cu: 0.500 0.500 0.143


x.
TbDy3Cu2: optimized geometry, PBE.

## Properties
For the calculated density, the calculation gives 7.86 g/cm3. Its density of states at the Fermi level is 7.4 states/eV/f.u.

a b c (Å): 6.797 7.165 8.331
angles (deg): 115.47 114.07 90.00
Fractional coordinates of all 12 atoms:
Tb: 0.000 0.500 0.000
Tb: 0.000 0.000 0.000
Dy: 0.500 0.250 0.000
Dy: 0.500 0.750 0.000
Dy: 0.765 0.015 0.531
Dy: 0.235 0.485 0.469
Dy: 0.235 0.985 0.469
Dy: 0.765 0.515 0.531
Cu: 0.566 0.358 0.717
Cu: 0.850 0.142 0.283
Cu: 0.150 0.858 0.717
Cu: 0.434 0.642 0.283


Energies in meV/atom, measured from the most stable structure: w 0; x 174.


w.
TbDy2Cu2: optimized geometry, PBE.

## Properties
For the calculated density, the calculation gives 8.79 g/cm3. Its density of states at the Fermi level is 4.0 states/eV/f.u.

a b c (Å): 3.512 5.068 13.082
angles (deg): 90.00 97.73 90.00
Fractional coordinates of all 10 atoms:
Tb: 0.858 0.750 0.717
Tb: 0.142 0.250 0.283
Dy: 0.047 0.750 0.094
Dy: 0.953 0.250 0.906
Dy: 0.231 0.750 0.460
Dy: 0.769 0.250 0.540
Cu: 0.641 0.750 0.281
Cu: 0.359 0.250 0.719
Cu: 0.454 0.750 0.909
Cu: 0.546 0.250 0.091


x.
TbDy2Cu2: optimized geometry, PBE.

## Properties
For the calculated density, the calculation gives 8.37 g/cm3. Its density of states at the Fermi level is 5.2 states/eV/f.u.

a b c (Å): 3.705 5.506 6.361
angles (deg): 101.96 106.93 90.00
Fractional coordinates of all 5 atoms:
Tb: 0.000 0.000 0.000
Dy: 0.359 0.427 0.719
Dy: 0.641 0.573 0.281
Cu: 0.712 0.108 0.424
Cu: 0.288 0.892 0.576


Energies in meV/atom, measured from the most stable structure: w 0; x 77.


w.
Dy8Cu2Tc: optimized geometry, PBE.

## Properties
For the calculated density, the calculation gives 9.00 g/cm3. Its density of states at the Fermi level is 11.7 states/eV/f.u.

a b c (Å): 5.098 6.744 8.963
angles (deg): 107.01 106.52 90.00
Fractional coordinates of all 11 atoms:
Dy: 0.409 0.557 0.817
Dy: 0.668 0.975 0.336
Dy: 0.803 0.683 0.606
Dy: 0.968 0.205 0.937
Dy: 0.197 0.317 0.394
Dy: 0.332 0.025 0.664
Dy: 0.591 0.443 0.183
Dy: 0.032 0.795 0.063
Cu: 0.817 0.288 0.633
Cu: 0.183 0.712 0.367
Tc: 0.500 0.000 0.000


x.
Dy8Cu2Tc: optimized geometry, PBE.

## Properties
For the calculated density, the calculation gives 8.72 g/cm3. Its density of states at the Fermi level is 12.4 states/eV/f.u.

a b c (Å): 5.713 7.771 7.771
angles (deg): 116.10 100.64 100.64
Fractional coordinates of all 11 atoms:
Dy: 0.588 0.330 0.088
Dy: 0.588 0.088 0.330
Dy: 0.179 0.367 0.367
Dy: 0.992 0.210 0.791
Dy: 0.992 0.791 0.210
Dy: 0.812 0.642 0.642
Dy: 0.382 0.916 0.673
Dy: 0.382 0.673 0.916
Cu: 0.495 0.702 0.308
Cu: 0.495 0.308 0.702
Tc: 0.095 0.006 0.006


Energies in meV/atom, measured from the most stable structure: w 0; x 98.


w.
Dy4CuTe: optimized geometry, PBE.

## Properties
For the calculated density, the calculation gives 8.82 g/cm3. Its density of states at the Fermi level is 6.9 states/eV/f.u.

a b c (Å): 3.912 8.355 19.389
angles (deg): 90.00 90.00 90.00
Fractional coordinates of all 24 atoms:
Dy: 0.750 0.835 0.647
Dy: 0.250 0.165 0.353
Dy: 0.250 0.665 0.147
Dy: 0.750 0.335 0.853
Dy: 0.750 0.878 0.444
Dy: 0.250 0.122 0.556
Dy: 0.250 0.622 0.944
Dy: 0.750 0.378 0.056
Dy: 0.750 0.972 0.930
Dy: 0.250 0.028 0.070
Dy: 0.250 0.528 0.430
Dy: 0.750 0.472 0.570
Dy: 0.750 0.989 0.218
Dy: 0.250 0.011 0.782
Dy: 0.250 0.511 0.718
Dy: 0.750 0.489 0.282
Cu: 0.750 0.262 0.451
Cu: 0.250 0.738 0.549
Cu: 0.250 0.238 0.951
Cu: 0.750 0.762 0.049
Te: 0.750 0.713 0.812
Te: 0.250 0.287 0.188
Te: 0.250 0.787 0.312
Te: 0.750 0.213 0.688


x.
Dy4CuTe: optimized geometry, PBE.

## Properties
For the calculated density, the calculation gives 8.60 g/cm3. Its density of states at the Fermi level is 6.9 states/eV/f.u.

a b c (Å): 6.155 8.155 6.472
angles (deg): 90.00 90.00 91.37
Fractional coordinates of all 12 atoms:
Dy: 0.603 0.625 0.750
Dy: 0.397 0.375 0.250
Dy: 0.358 0.082 0.750
Dy: 0.642 0.918 0.250
Dy: 0.120 0.695 0.000
Dy: 0.880 0.305 0.500
Dy: 0.120 0.695 0.500
Dy: 0.880 0.305 0.000
Cu: 0.243 0.412 0.750
Cu: 0.757 0.588 0.250
Te: 0.839 0.964 0.750
Te: 0.161 0.036 0.250


Energies in meV/atom, measured from the most stable structure: w 0; x 57.


w.
DyThCu2: optimized geometry, PBE.

## Properties
For the calculated density, the calculation gives 9.70 g/cm3. Its density of states at the Fermi level is 4.7 states/eV/f.u.

a b c (Å): 3.771 4.355 5.767
angles (deg): 90.00 109.48 90.00
Fractional coordinates of all 4 atoms:
Dy: 0.439 0.500 0.418
Th: 0.729 0.000 0.995
Cu: 0.152 0.500 0.843
Cu: 0.012 0.000 0.562


x.
DyThCu2: optimized geometry, PBE.

## Properties
For the calculated density, the calculation gives 9.01 g/cm3. Its density of states at the Fermi level is 5.3 states/eV/f.u.

a b c (Å): 3.788 3.788 8.039
angles (deg): 76.37 76.37 60.00
Fractional coordinates of all 4 atoms:
Cu: 0.749 0.749 0.753
Cu: 0.251 0.251 0.247
Th: 0.500 0.500 0.500
Dy: 0.000 0.000 0.000


y.
DyThCu2: optimized geometry, PBE.

## Properties
For the calculated density, the calculation gives 9.82 g/cm3. Its density of states at the Fermi level is 4.7 states/eV/f.u.

a b c (Å): 4.996 4.996 4.996
angles (deg): 60.00 60.00 60.00
Fractional coordinates of all 4 atoms:
Cu: 0.250 0.250 0.250
Cu: 0.750 0.750 0.750
Th: 0.500 0.500 0.500
Dy: 0.000 0.000 0.000


z.
DyThCu2: optimized geometry, PBE.

## Properties
For the calculated density, the calculation gives 9.93 g/cm3. Its density of states at the Fermi level is 3.7 states/eV/f.u.

a b c (Å): 3.469 3.469 7.248
angles (deg): 90.00 90.00 90.00
Fractional coordinates of all 4 atoms:
Cu: 0.000 0.000 0.732
Cu: 0.000 0.000 0.268
Th: 0.500 0.500 0.000
Dy: 0.500 0.500 0.500


Energies in meV/atom, measured from the most stable structure: w 0; x 229; y 42; z 25.